[1]
Compound: Rb2CuSi2
Source: Alexandria
Functional: PBE
Structure: optimized geometry

## Properties
The raw formation energy is 432 meV/atom. The value obtained for the relative energy among the computed polymorphs is 87 meV/atom.

a b c (Å): 3.612 3.612 21.978
angles (deg): 90.00 90.00 90.00
Space group I4/mmm (No. 139)
Inequivalent atoms, fractional coordinates:
Rb1 0.000 0.000 0.105 x4
Cu1 0.000 0.000 0.500 x2
Si1 0.000 0.500 0.250 x4

[2]
Compound: RbCuSi3
Source: Alexandria
Functional: PBE
Structure: optimized geometry

## Properties
The raw formation energy is 723 meV/atom. The value obtained for the relative energy among the computed polymorphs is 0 meV/atom.

a b c (Å): 4.807 4.807 4.807
angles (deg): 90.00 90.00 90.00
Space group Pm-3m (No. 221)
Inequivalent atoms, fractional coordinates:
Rb1 0.000 0.000 0.000 x1
Cu1 0.500 0.500 0.500 x1
Si1 0.000 0.500 0.500 x3

[3]
Compound: RbCu8Si6
Source: Alexandria
Functional: PBE
Structure: optimized geometry

## Properties
The raw formation energy is 172 meV/atom.

a b c (Å): 7.7535 7.7535 13.1960
angles (deg): 90.00 90.00 120.00
Space group R-3 (No. 148, hexagonal axes)
Inequivalent atoms, fractional coordinates:
Rb1 0.0000 0.0000 0.0000 x3
Cu1 0.0000 0.0000 0.2248 x6
Cu2 0.0008 0.3548 0.1309 x18
Si1 0.0139 0.1989 0.6283 x18

[4]
Compound: RbCu3Si
Source: Alexandria
Functional: PBE
Structure: optimized geometry

## Properties
The raw formation energy is 242 meV/atom. The value obtained for the relative energy among the computed polymorphs is 0 meV/atom.

a b c (Å): 4.690 4.690 4.690
angles (deg): 90.00 90.00 90.00
Space group Pm-3m (No. 221)
Inequivalent atoms, fractional coordinates:
Rb1 0.000 0.000 0.000 x1
Cu1 0.000 0.500 0.500 x3
Si1 0.500 0.500 0.500 x1

[5]
Compound: RbCu3Si
Source: Alexandria
Functional: PBE
Structure: optimized geometry

## Properties
The raw formation energy is 2040 meV/atom. The value obtained for the relative energy among the computed polymorphs is 1798 meV/atom.

a b c (Å): 5.160 5.160 5.160
angles (deg): 90.00 90.00 90.00
Space group Pm-3m (No. 221)
Inequivalent atoms, fractional coordinates:
Rb1 0.000 0.000 0.000 x1
Cu1 0.000 0.000 0.500 x3
Si1 0.500 0.500 0.500 x1

[6]
Compound: Rb2CuSi
Source: Alexandria
Functional: PBE
Structure: optimized geometry

## Properties
The raw formation energy is 184 meV/atom.

a b c (Å): 13.242 13.242 4.426
angles (deg): 90.00 90.00 90.00
Space group I-42d (No. 122)
Inequivalent atoms, fractional coordinates:
Rb1 0.028 0.250 0.125 x8
Cu1 0.000 0.000 0.000 x4
Si1 0.000 0.000 0.500 x4